# 1
First-principles (PBE) data for a geometry-optimized Ca2GaSn3Pt4 structure, as listed in Alexandria.

abc: 4.4324 4.4324 11.1601
angles: 90.00 90.00 90.00
Closest atoms and distances in Å follow each position.
Sites, in units of the cell vectors:
1 Ca 0.5000 0.0000 0.2536  8 Pt 3.39-3.59, 6 Sn 3.40-3.53, 2 Ga 3.53
2 Ca 0.0000 0.5000 0.7464  8 Pt 3.39-3.59, 6 Sn 3.40-3.53, 2 Ga 3.53
3 Pt 0.5000 0.5000 0.0000  4 Sn 2.68
4 Pt 0.0000 0.0000 0.0000  4 Sn 2.68
5 Pt 0.5000 0.0000 0.6298  3 Sn 2.62-2.65, 2 Ga 2.65
6 Pt 0.0000 0.5000 0.3702  3 Sn 2.62-2.65, 2 Ga 2.65
7 Sn 0.5000 0.0000 0.8650  5 Pt 2.62-2.68
8 Sn 0.0000 0.0000 0.5000  4 Pt 2.65
9 Sn 0.0000 0.5000 0.1350  5 Pt 2.62-2.68
10 Ga 0.5000 0.5000 0.5000  4 Pt 2.65

Summary:
**ρ**: 9.742 g/cm3
**Magnetization**: 0.000 μB per formula unit
**Formation energy from the elements**: -760 meV/atom
**SG**: P-4m2

# 2
First-principles (PBE) data for a geometry-optimized Sr2CaGa4Pt3 structure, as listed in Alexandria.

abc: 4.3479 4.3479 11.7085
angles: 90.00 90.00 90.00
Closest atoms and distances in Å follow each position.
Sites, in units of the cell vectors:
1 Sr 0.0000 0.5000 0.7711  8 Ga 3.32-3.45, 4 Pt 3.33
2 Sr 0.5000 0.0000 0.2289  8 Ga 3.32-3.45, 4 Pt 3.33
3 Ga 0.5000 0.0000 0.6637  1 Pt 2.53
4 Ga 0.0000 0.0000 0.0000  4 Pt 2.59
5 Ga 0.5000 0.5000 0.0000  4 Pt 2.59
6 Ga 0.0000 0.5000 0.3363  1 Pt 2.53
7 Pt 0.5000 0.0000 0.8800  5 Ga 2.53-2.59
8 Pt 0.0000 0.0000 0.5000  4 Ga 2.90, 4 Ca 3.07
9 Pt 0.0000 0.5000 0.1200  5 Ga 2.53-2.59
10 Ca 0.5000 0.5000 0.5000  4 Ga 2.90, 4 Pt 3.07

Summary:
**ρ**: 8.098 g/cm3
**Magnetization**: 0.000 μB per formula unit
**Formation energy from the elements**: -726 meV/atom
**SG**: P-4m2

# 3
First-principles (PBE) data for a geometry-optimized SrCa2GaPt structure, as listed in Alexandria.

abc: 5.6268 5.6268 4.9685
angles: 90.00 90.00 90.00
Closest atoms and distances in Å follow each position.
Sites, in units of the cell vectors:
1 Pt 0.0000 0.0000 0.0000  2 Ga 2.48
2 Ca 0.5000 0.0000 0.0000  2 Pt 2.81
3 Ca 0.0000 0.5000 0.0000  2 Pt 2.81
4 Sr 0.5000 0.5000 0.5000  8 Ca 3.75, 4 Ga 3.98
5 Ga 0.0000 0.0000 0.5000  2 Pt 2.48

Summary:
**ρ**: 4.566 g/cm3
**Magnetization**: 0.000 μB per formula unit
**Formation energy from the elements**: -456 meV/atom
**SG**: P4/mmm

# 4
First-principles (PBE) data for a geometry-optimized Sr2CaGa3Pt4 structure, as listed in Alexandria.

abc: 4.4095 4.4095 11.1709
angles: 90.00 90.00 90.00
Closest atoms and distances in Å follow each position.
Sites, in units of the cell vectors:
1 Sr 0.0000 0.5000 0.7704  6 Ga 3.37-3.74, 8 Pt 3.37-3.38, 2 Ca 3.74
2 Sr 0.5000 0.0000 0.2296  6 Ga 3.37-3.74, 8 Pt 3.37-3.38, 2 Ca 3.74
3 Ga 0.0000 0.5000 0.1163  5 Pt 2.55-2.56
4 Ga 0.5000 0.0000 0.8837  5 Pt 2.55-2.56
5 Ga 0.0000 0.0000 0.5000  4 Pt 2.80, 4 Ca 3.12
6 Pt 0.5000 0.5000 0.0000  4 Ga 2.56
7 Pt 0.0000 0.0000 0.0000  4 Ga 2.56
8 Pt 0.5000 0.0000 0.6552  3 Ga 2.55-2.80, 2 Ca 2.80
9 Pt 0.0000 0.5000 0.3448  3 Ga 2.55-2.80, 2 Ca 2.80
10 Ca 0.5000 0.5000 0.5000  4 Pt 2.80, 4 Ga 3.12

Summary:
**ρ**: 9.211 g/cm3
**Magnetization**: 0.000 μB per formula unit
**Formation energy from the elements**: -838 meV/atom
**SG**: P-4m2

# 5
First-principles (PBE) data for a geometry-optimized Ca2TaGa3Pt4 structure, as listed in Alexandria.

abc: 4.1460 4.1460 11.2407
angles: 90.00 90.00 90.00
Closest atoms and distances in Å follow each position.
Sites, in units of the cell vectors:
1 Ta 0.5000 0.5000 0.5000  4 Pt 2.63, 4 Ga 2.93
2 Ca 0.0000 0.5000 0.7572  6 Ga 3.18-3.56, 8 Pt 3.20-3.43, 2 Ta 3.56
3 Ca 0.5000 0.0000 0.2428  6 Ga 3.18-3.56, 8 Pt 3.20-3.43, 2 Ta 3.56
4 Pt 0.0000 0.5000 0.3566  3 Ga 2.51-2.63, 2 Ta 2.63
5 Pt 0.5000 0.0000 0.6434  3 Ga 2.51-2.63, 2 Ta 2.63
6 Pt 0.5000 0.5000 0.0000  4 Ga 2.56
7 Pt 0.0000 0.0000 0.0000  4 Ga 2.56
8 Ga 0.0000 0.5000 0.1332  5 Pt 2.51-2.56
9 Ga 0.5000 0.0000 0.8668  5 Pt 2.51-2.56
10 Ga 0.0000 0.0000 0.5000  4 Pt 2.63, 4 Ta 2.93

Summary:
**ρ**: 10.748 g/cm3
**Magnetization**: 0.000 μB per formula unit
**Formation energy from the elements**: -789 meV/atom
**SG**: P-4m2

# 6
First-principles (PBE) data for a geometry-optimized CaTbGa2Pt2 structure, as listed in Alexandria.

abc: 4.4273 4.4273 7.4318
angles: 90.00 90.00 120.00
Closest atoms and distances in Å follow each position.
Sites, in units of the cell vectors:
1 Pt 0.3333 0.6667 0.2742  3 Ga 2.56
2 Pt 0.6667 0.3333 0.7258  3 Ga 2.56
3 Ca 0.0000 0.0000 0.0000  6 Ga 3.21, 6 Pt 3.27
4 Tb 0.0000 0.0000 0.5000  6 Pt 3.06, 6 Ga 3.11
5 Ga 0.6667 0.3333 0.2615  3 Pt 2.56
6 Ga 0.3333 0.6667 0.7385  3 Pt 2.56

Summary:
**ρ**: 9.591 g/cm3
**Magnetization**: 0.000 μB per formula unit
**Formation energy from the elements**: -980 meV/atom
**SG**: P-3m1